A relaxed structure of Li3Ni2C4O12, computed with GGA+U.

Results
**Total energy**: -6.57 eV per atom
**Distance to the lowest polymorph of the same formula**: 0 meV/atom
**Crystal system**: triclinic

Cell and atoms, written as CIF:
```
data_Li3Ni2C4O12
_cell_length_a 5.0813
_cell_length_b 6.3682
_cell_length_c 7.7487
_cell_angle_alpha 89.58
_cell_angle_beta 89.03
_cell_angle_gamma 69.54
_symmetry_space_group_name_H-M 'P 1'
_symmetry_Int_Tables_number 1
loop_
_symmetry_equiv_pos_as_xyz
'x,y,z'
loop_
_atom_site_label
_atom_site_type_symbol
_atom_site_fract_x
_atom_site_fract_y
_atom_site_fract_z
Li1 Li 0.0000 0.0000 0.0000
Li2 Li 0.0014 0.5141 0.5920
Li3 Li 0.6999 0.2197 0.4844
Ni1 Ni 0.3499 0.3718 0.0393
Ni2 Ni 0.3525 0.8656 0.5462
C1 C 0.2015 0.2299 0.3025
C2 C 0.2214 0.7336 0.2856
C3 C 0.5034 0.0033 0.8005
C4 C 0.5066 0.4943 0.7737
O1 O 0.0736 0.2355 0.1594
O2 O 0.0793 0.7421 0.4294
O3 O 0.0992 0.1941 0.4512
O4 O 0.1371 0.6957 0.1387
O5 O 0.2608 0.4721 0.7841
O6 O 0.2701 0.9607 0.7956
O7 O 0.4344 0.2715 0.2949
O8 O 0.4487 0.7791 0.3032
O9 O 0.5986 0.0553 0.9380
O10 O 0.6041 0.5347 0.6242
O11 O 0.6339 0.9848 0.6508
O12 O 0.6473 0.4693 0.9119
```